Entry from the Open Quantum Materials Database: a geometry-optimized TlCd2W structure (GGA-PBE).

E_tot = -52.85 eV/cell
Calculated volume = 333.90 Å³/cell
ρ = 12.20 g/cm³
Total magnetic moment = 1.88 μB/f.u.

The structure in POSCAR format:
```
TlCd2W
1.0
6.938 0.000 0.000
0.000 6.938 0.000
0.000 0.000 6.938
Tl Cd W
4 8 4
Direct
0.000 0.000 0.000
0.000 0.500 0.500
0.500 0.000 0.500
0.500 0.500 0.000
0.000 0.000 0.500
0.000 0.500 0.000
0.250 0.250 0.750
0.250 0.750 0.250
0.500 0.000 0.000
0.500 0.500 0.500
0.750 0.250 0.250
0.750 0.750 0.750
0.250 0.250 0.250
0.250 0.750 0.750
0.750 0.250 0.750
0.750 0.750 0.250
```